Density functional theory data (PBE) for an optimized crystal structure of Na2AgHg6. Values from VASP.

## Properties
Excess energy over the best structure of this formula in the dataset ... 34 meV/atom
Density of states at the Fermi level ... 2.57 states/eV/cell
M_tot ... 0.000 Bohr magnetons per cell
Energy relative to the elements ... -0.09 eV/atom

Geometry as Quantum ESPRESSO input:
```
&SYSTEM
  ibrav = 0, nat = 9, ntyp = 3
/
ATOMIC_SPECIES
Na 22.99 Na.upf
Hg 200.59 Hg.upf
Ag 107.87 Ag.upf
CELL_PARAMETERS angstrom
3.1225 0.0000 0.8336
0.4152 7.9169 4.7099
-0.7734 0.7001 9.1622
ATOMIC_POSITIONS crystal
Na 0.3535 0.1465 0.1465
Hg 0.8282 0.5004 0.8432
Na 0.6465 0.8535 0.8535
Hg 0.1718 0.4996 0.1568
Hg 0.1718 0.1568 0.4996
Hg 0.8282 0.8432 0.5004
Hg 0.0000 0.1879 0.8121
Ag 0.5000 0.5000 0.5000
Hg 0.0000 0.8121 0.1879
```



Density functional theory data (PBE) for an optimized crystal structure of Na2AgHg. Values from VASP.

## Properties
Density of states at the Fermi level ... 1.36 states/eV/cell
M_tot ... 0.000 Bohr magnetons per cell
Energy relative to the elements ... -0.10 eV/atom

Geometry as Quantum ESPRESSO input:
```
&SYSTEM
  ibrav = 0, nat = 4, ntyp = 3
/
ATOMIC_SPECIES
Hg 200.59 Hg.upf
Ag 107.87 Ag.upf
Na 22.99 Na.upf
CELL_PARAMETERS angstrom
-2.5823 -0.1595 -3.3575
-3.7712 -0.1937 2.9097
-0.2629 4.7599 -0.0239
ATOMIC_POSITIONS crystal
Hg 0.5000 0.5000 0.5000
Ag 0.5000 0.0000 0.0000
Na 0.0000 0.0000 0.5000
Na 0.0000 0.5000 0.0000
```



Density functional theory data (PBE) for an optimized crystal structure of Na8Ag2Hg. Values from VASP.

## Properties
Density of states at the Fermi level ... 4.53 states/eV/cell
M_tot ... 0.000 Bohr magnetons per cell
Energy relative to the elements ... -0.05 eV/atom

Geometry as Quantum ESPRESSO input:
```
&SYSTEM
  ibrav = 0, nat = 11, ntyp = 3
/
ATOMIC_SPECIES
Na 22.99 Na.upf
Ag 107.87 Ag.upf
Hg 200.59 Hg.upf
CELL_PARAMETERS angstrom
5.0915 0.0000 0.0000
0.0000 7.6122 0.0180
-2.5458 -3.2392 8.1873
ATOMIC_POSITIONS crystal
Na 0.9730 0.2368 0.9460
Ag 0.1863 0.6816 0.3725
Na 0.6706 0.9372 0.3411
Na 0.1874 0.2731 0.3749
Na 0.8126 0.7269 0.6251
Na 0.0270 0.7632 0.0540
Na 0.3294 0.0628 0.6589
Na 0.3957 0.5462 0.7915
Na 0.6043 0.4538 0.2085
Ag 0.8137 0.3184 0.6275
Hg 0.5000 0.0000 0.0000
```



Density functional theory data (PBE) for an optimized crystal structure of NaAgHg2. Values from VASP.

## Properties
Excess energy over the best structure of this formula in the dataset ... 24 meV/atom
Density of states at the Fermi level ... 0.68 states/eV/cell
M_tot ... 0.000 Bohr magnetons per cell
Energy relative to the elements ... -0.09 eV/atom

Geometry as Quantum ESPRESSO input:
```
&SYSTEM
  ibrav = 0, nat = 4, ntyp = 3
/
ATOMIC_SPECIES
Hg 200.59 Hg.upf
Na 22.99 Na.upf
Ag 107.87 Ag.upf
CELL_PARAMETERS angstrom
-1.5016 -2.3291 -3.0548
3.5730 -2.9652 0.5045
-2.4811 -2.4626 3.0972
ATOMIC_POSITIONS crystal
Hg 0.0000 0.0000 0.5000
Hg 0.0000 0.5000 0.0000
Na 0.5000 0.5000 0.5000
Ag 0.5000 0.0000 0.0000
```



Density functional theory data (PBE) for an optimized crystal structure of Na6AgHg3. Values from VASP.

## Properties
Excess energy over the best structure of this formula in the dataset ... 39 meV/atom
Density of states at the Fermi level ... 7.08 states/eV/cell
M_tot ... 0.000 Bohr magnetons per cell
Energy relative to the elements ... -0.11 eV/atom

Geometry as Quantum ESPRESSO input:
```
&SYSTEM
  ibrav = 0, nat = 20, ntyp = 3
/
ATOMIC_SPECIES
Ag 107.87 Ag.upf
Na 22.99 Na.upf
Hg 200.59 Hg.upf
CELL_PARAMETERS angstrom
3.4795 0.0000 0.0000
0.0000 12.3186 -0.5371
0.0000 -4.7127 13.4518
ATOMIC_POSITIONS crystal
Ag 0.2500 0.9213 0.3121
Na 0.2500 0.6198 0.8772
Hg 0.7500 0.1093 0.0598
Hg 0.7500 0.6830 0.5130
Na 0.2500 0.2943 0.7029
Na 0.2500 0.1460 0.2570
Na 0.7500 0.1028 0.4716
Hg 0.2500 0.5917 0.0944
Na 0.7500 0.8540 0.7430
Ag 0.7500 0.0787 0.6879
Na 0.7500 0.7057 0.2971
Na 0.2500 0.1572 0.8837
Hg 0.2500 0.8907 0.9402
Na 0.7500 0.3802 0.1228
Na 0.2500 0.4757 0.3661
Na 0.2500 0.8972 0.5284
Hg 0.7500 0.4083 0.9056
Na 0.7500 0.8428 0.1163
Hg 0.2500 0.3170 0.4870
Na 0.7500 0.5243 0.6339
```



Density functional theory data (PBE) for an optimized crystal structure of Na5Ag2Hg4. Values from VASP.

## Properties
Density of states at the Fermi level ... 3.09 states/eV/cell
M_tot ... 0.000 Bohr magnetons per cell
Energy relative to the elements ... -0.07 eV/atom

Geometry as Quantum ESPRESSO input:
```
&SYSTEM
  ibrav = 0, nat = 11, ntyp = 3
/
ATOMIC_SPECIES
Hg 200.59 Hg.upf
Na 22.99 Na.upf
Ag 107.87 Ag.upf
CELL_PARAMETERS angstrom
3.2573 0.0000 0.0000
0.0000 7.6336 0.7420
-1.6287 -1.2603 11.5290
ATOMIC_POSITIONS crystal
Hg 0.3495 0.4490 0.6991
Hg 0.6505 0.5510 0.3009
Na 0.1441 0.9148 0.2882
Na 0.7737 0.7191 0.5473
Na 0.2263 0.2809 0.4527
Na 0.5000 0.0000 0.0000
Ag 0.9122 0.7247 0.8243
Ag 0.0878 0.2753 0.1757
Hg 0.9634 0.3358 0.9269
Hg 0.0366 0.6642 0.0731
Na 0.8559 0.0852 0.7118
```



Density functional theory data (PBE) for an optimized crystal structure of NaAgHg5. Values from VASP.

## Properties
Density of states at the Fermi level ... 2.54 states/eV/cell
M_tot ... 0.000 Bohr magnetons per cell
Energy relative to the elements ... -0.07 eV/atom

Geometry as Quantum ESPRESSO input:
```
&SYSTEM
  ibrav = 0, nat = 7, ntyp = 3
/
ATOMIC_SPECIES
Hg 200.59 Hg.upf
Na 22.99 Na.upf
Ag 107.87 Ag.upf
CELL_PARAMETERS angstrom
-0.3023 -2.1301 -4.5727
-0.2456 -4.5693 2.1448
-7.1002 0.4940 0.2393
ATOMIC_POSITIONS crystal
Hg 0.5000 0.0000 0.2844
Hg 0.0000 0.5000 0.2844
Hg 0.0000 0.5000 0.7156
Na 0.0000 0.0000 0.0000
Hg 0.5000 0.5000 0.0000
Ag 0.0000 0.0000 0.5000
Hg 0.5000 0.0000 0.7156
```



Density functional theory data (PBE) for an optimized crystal structure of NaAgHg2. Values from VASP.

## Properties
Excess energy over the best structure of this formula in the dataset ... 0 meV/atom
Density of states at the Fermi level ... 1.25 states/eV/cell
M_tot ... 0.000 Bohr magnetons per cell
Energy relative to the elements ... -0.12 eV/atom

Geometry as Quantum ESPRESSO input:
```
&SYSTEM
  ibrav = 0, nat = 4, ntyp = 3
/
ATOMIC_SPECIES
Ag 107.87 Ag.upf
Na 22.99 Na.upf
Hg 200.59 Hg.upf
CELL_PARAMETERS angstrom
-2.8060 -1.3079 3.9416
-4.9887 -0.2098 -0.4345
-2.3358 -4.4341 0.0524
ATOMIC_POSITIONS crystal
Ag 0.5000 0.5000 0.5000
Na 0.0000 0.0000 0.0000
Hg 0.7500 0.7500 0.7500
Hg 0.2500 0.2500 0.2500
```



Density functional theory data (PBE) for an optimized crystal structure of Na6AgHg10. Values from VASP.

## Properties
Density of states at the Fermi level ... 6.22 states/eV/cell
M_tot ... 0.000 Bohr magnetons per cell
Energy relative to the elements ... -0.17 eV/atom

Geometry as Quantum ESPRESSO input:
```
&SYSTEM
  ibrav = 0, nat = 17, ntyp = 3
/
ATOMIC_SPECIES
Hg 200.59 Hg.upf
Na 22.99 Na.upf
Ag 107.87 Ag.upf
CELL_PARAMETERS angstrom
6.1335 0.0000 0.0000
0.0000 7.8782 -4.5485
0.0000 0.0000 9.0970
ATOMIC_POSITIONS crystal
Hg 0.2029 0.2564 0.2564
Hg 0.0000 0.6667 0.3333
Hg 0.5000 0.6667 0.3333
Na 0.7260 0.6158 0.0000
Hg 0.2029 0.0000 0.7436
Hg 0.2029 0.7436 0.0000
Ag 0.5000 0.0000 0.0000
Na 0.7260 0.3842 0.3842
Na 0.2740 0.0000 0.3842
Na 0.2740 0.3842 0.0000
Hg 0.0000 0.3333 0.6667
Na 0.7260 0.0000 0.6158
Hg 0.5000 0.3333 0.6667
Na 0.2740 0.6158 0.6158
Hg 0.7971 0.2564 0.0000
Hg 0.7971 0.0000 0.2564
Hg 0.7971 0.7436 0.7436
```



Density functional theory data (PBE) for an optimized crystal structure of Na4AgHg2. Values from VASP.

## Properties
Excess energy over the best structure of this formula in the dataset ... 139 meV/atom
Density of states at the Fermi level ... 4.30 states/eV/cell
M_tot ... 0.000 Bohr magnetons per cell
Energy relative to the elements ... 0.01 eV/atom

Geometry as Quantum ESPRESSO input:
```
&SYSTEM
  ibrav = 0, nat = 7, ntyp = 3
/
ATOMIC_SPECIES
Na 22.99 Na.upf
Ag 107.87 Ag.upf
Hg 200.59 Hg.upf
CELL_PARAMETERS angstrom
-4.0176 -2.1567 3.1988
1.1627 -5.0805 -1.9651
6.4976 2.5854 5.0544
ATOMIC_POSITIONS crystal
Na 0.1925 0.1925 0.3851
Ag 0.0000 0.0000 0.0000
Hg 0.6082 0.6082 0.2163
Na 0.0000 0.5000 0.0000
Na 0.8075 0.8075 0.6149
Hg 0.3918 0.3918 0.7837
Na 0.5000 0.0000 0.0000
```



Density functional theory data (PBE) for an optimized crystal structure of Na7AgHg4. Values from VASP.

## Properties
Density of states at the Fermi level ... 2.82 states/eV/cell
M_tot ... 0.000 Bohr magnetons per cell
Energy relative to the elements ... -0.15 eV/atom

Geometry as Quantum ESPRESSO input:
```
&SYSTEM
  ibrav = 0, nat = 12, ntyp = 3
/
ATOMIC_SPECIES
Hg 200.59 Hg.upf
Na 22.99 Na.upf
Ag 107.87 Ag.upf
CELL_PARAMETERS angstrom
-5.7630 0.4765 1.8399
-0.6144 -5.9774 -1.5805
-4.3032 -4.2338 9.3678
ATOMIC_POSITIONS crystal
Hg 0.4861 0.6275 0.2397
Na 0.1324 0.4708 0.0895
Na 0.7909 0.7920 0.3709
Hg 0.5255 0.1396 0.2625
Na 0.9247 0.2609 0.4438
Na 0.8676 0.5292 0.9105
Na 0.2091 0.2080 0.6291
Hg 0.4745 0.8604 0.7375
Ag 0.0000 0.0000 0.0000
Hg 0.5139 0.3725 0.7603
Na 0.5000 0.0000 0.0000
Na 0.0753 0.7392 0.5562
```



Density functional theory data (PBE) for an optimized crystal structure of Na5Ag4Hg4. Values from VASP.

## Properties
Density of states at the Fermi level ... 4.63 states/eV/cell
M_tot ... 0.000 Bohr magnetons per cell
Energy relative to the elements ... -0.12 eV/atom

Geometry as Quantum ESPRESSO input:
```
&SYSTEM
  ibrav = 0, nat = 13, ntyp = 3
/
ATOMIC_SPECIES
Ag 107.87 Ag.upf
Hg 200.59 Hg.upf
Na 22.99 Na.upf
CELL_PARAMETERS angstrom
-0.5070 -1.1936 4.0110
8.3333 0.3247 3.3652
-1.5153 7.7371 4.3260
ATOMIC_POSITIONS crystal
Ag 0.5712 0.3333 0.5243
Hg 0.9441 0.8142 0.2976
Na 0.6341 0.6479 0.0838
Na 0.2821 0.0838 0.3521
Na 0.7179 0.9162 0.6479
Hg 0.7583 0.2976 0.1858
Ag 0.4288 0.6667 0.4757
Hg 0.0559 0.1858 0.7024
Ag 0.9045 0.5243 0.6667
Ag 0.0955 0.4757 0.3333
Na 0.3659 0.3521 0.9162
Hg 0.2417 0.7024 0.8142
Na 0.0000 0.0000 0.0000
```